No. 1
{"formula": "NaSb2RhI", "functional": "GGA-PBE", "state": "relaxed", "magmom_total_mub_per_fu": 0.55, "e_tot_ev_per_fu": -12.62, "polymorph_energy_ev_per_atom": 1.211, "n_ef_per_ev_fu": 5.81, "e_form_raw_ev_per_fu": 5.84, "lattice_angstrom": [[5.312, 0.000, 0.000], [0.000, 5.312, 0.000], [0.000, 0.000, 5.494]], "species": ["Na", "Sb", "Sb", "Rh", "I"], "fractional_positions": [[0.000, 0.000, 0.000], [0.000, 0.500, 0.000], [0.500, 0.000, 0.000], [0.500, 0.500, 0.500], [0.000, 0.000, 0.500]]}


No. 2
{"formula": "NaSbRhI2", "functional": "GGA-PBE", "state": "relaxed", "magmom_total_mub_per_fu": 2.44, "e_tot_ev_per_fu": -11.10, "polymorph_energy_ev_per_atom": 1.150, "n_ef_per_ev_fu": 9.66, "e_form_raw_ev_per_fu": 4.79, "lattice_angstrom": [[5.597, 0.000, 0.000], [0.000, 5.597, 0.000], [0.000, 0.000, 5.651]], "species": ["Na", "Sb", "Rh", "I", "I"], "fractional_positions": [[0.000, 0.000, 0.000], [0.000, 0.000, 0.500], [0.500, 0.500, 0.500], [0.000, 0.500, 0.000], [0.500, 0.000, 0.000]]}


No. 3
{"formula": "NaRhSe2I", "functional": "GGA-PBE", "state": "relaxed", "magmom_total_mub_per_fu": 3.20, "e_tot_ev_per_fu": -12.22, "n_ef_per_ev_fu": 7.60, "e_form_raw_ev_per_fu": 4.97, "lattice_angstrom": [[4.998, 0.000, 0.000], [0.000, 4.998, 0.000], [0.000, 0.000, 6.046]], "species": ["Na", "Rh", "Se", "Se", "I"], "fractional_positions": [[0.000, 0.000, 0.000], [0.500, 0.500, 0.500], [0.000, 0.500, 0.000], [0.500, 0.000, 0.000], [0.000, 0.000, 0.500]]}